Entry 1:
Crystalline V3Ru2Rh6 at its relaxed geometry, computed with PBE.

- Calculated volume: 155.0 Å³/cell
- M_tot: 0.0 μB/f.u.
- Final energy: -8.3536 eV/atom

Cell and atoms, written as POSCAR:
```
V3Ru2Rh6
1.0
-1.3641 2.1200 13.3984
1.3641 -2.1200 13.3984
1.3641 2.1200 -13.3984
V Ru Rh
3 2 6
Direct
0.0000 0.0000 0.0000
0.1843 0.1843 0.0000
0.8157 0.8157 0.0000
0.4554 0.4554 0.0000
0.5446 0.5446 0.0000
0.0985 0.5985 0.5000
0.2776 0.2776 0.0000
0.3684 0.8684 0.5000
0.6316 0.1316 0.5000
0.7224 0.7224 0.0000
0.9015 0.4015 0.5000
```

---

Entry 2:
Crystalline V6Ru2Rh at its relaxed geometry, computed with PBE.

- Calculated volume: 145.6 Å³/cell
- M_tot: 0.0 μB/f.u.
- Final energy: -8.6306 eV/atom

Cell and atoms, written as POSCAR:
```
V6Ru2Rh
1.0
-1.9145 2.9714 6.3992
1.9145 -2.9714 6.3992
1.9145 2.9714 -6.3992
V Ru Rh
6 2 1
Direct
0.0974 0.3320 0.7654
0.2278 0.0000 0.2278
0.4335 0.6680 0.7654
0.5665 0.3320 0.2346
0.7722 0.0000 0.7722
0.9026 0.6680 0.2346
0.1663 0.1663 0.0000
0.8337 0.8337 0.0000
0.5000 0.5000 0.0000
```

---

Entry 3:
Crystalline V2RuRh at its relaxed geometry, computed with PBE.

- Calculated volume: 110.1 Å³/cell
- M_tot: 0.0 μB/f.u.
- Polymorph energy (0 for the lowest one): 49.2 meV per atom
- Final energy: -8.9751 eV/atom

Cell and atoms, written as POSCAR:
```
V2RuRh
1.0
4.2858 0.0000 0.0000
0.0000 5.6391 0.0000
0.0000 0.0000 4.5558
V Ru Rh
4 2 2
Direct
0.2500 0.0031 0.2026
0.2500 0.4969 0.2026
0.7500 0.5031 0.7974
0.7500 0.9969 0.7974
0.2500 0.2500 0.7163
0.7500 0.7500 0.2837
0.2500 0.7500 0.6918
0.7500 0.2500 0.3082
```

---

Entry 4:
Crystalline V2RuRh5 at its relaxed geometry, computed with PBE.

- Calculated volume: 221.1 Å³/cell
- M_tot: 0.0 μB/f.u.
- Final energy: -8.3760 eV/atom

Cell and atoms, written as POSCAR:
```
V2RuRh5
1.0
5.3901 0.0000 0.0000
0.0000 10.7870 0.0000
0.0000 0.0000 3.8030
V Ru Rh
4 2 10
Direct
0.2438 0.1227 0.0000
0.2562 0.6227 0.0000
0.7438 0.3773 0.0000
0.7562 0.8773 0.0000
0.0000 0.0000 0.5000
0.5000 0.5000 0.5000
0.0000 0.5000 0.5000
0.0005 0.7512 0.5000
0.2493 0.8763 0.0000
0.2507 0.3763 0.0000
0.4995 0.2512 0.5000
0.5000 0.0000 0.5000
0.5005 0.7488 0.5000
0.7493 0.6237 0.0000
0.7507 0.1237 0.0000
0.9995 0.2488 0.5000
```

---

Entry 5:
Crystalline V2RuRh2 at its relaxed geometry, computed with PBE.

- Calculated volume: 142.4 Å³/cell
- M_tot: 0.0 μB/f.u.
- Polymorph energy (0 for the lowest one): 0.0 meV per atom
- Final energy: -8.5443 eV/atom

Cell and atoms, written as POSCAR:
```
V2RuRh2
1.0
7.1455 0.0000 0.0000
0.0000 7.1455 0.0000
0.0000 0.0000 2.7898
V Ru Rh
4 2 4
Direct
0.1687 0.3313 0.0000
0.3313 0.8313 0.0000
0.6687 0.1687 0.0000
0.8313 0.6687 0.0000
0.0000 0.0000 0.5000
0.5000 0.5000 0.5000
0.1323 0.6323 0.5000
0.3677 0.1323 0.5000
0.6323 0.8677 0.5000
0.8677 0.3677 0.5000
```

---

Entry 6:
Crystalline V6RuRh5 at its relaxed geometry, computed with PBE.

- Calculated volume: 165.0 Å³/cell
- M_tot: 0.0 μB/f.u.
- Polymorph energy (0 for the lowest one): 0.0 meV per atom
- Final energy: -8.7246 eV/atom

Cell and atoms, written as POSCAR:
```
V6RuRh5
1.0
4.5468 0.0000 0.0000
0.0000 5.5169 0.0000
-0.5156 0.0000 6.5784
V Ru Rh
6 1 5
Direct
0.0000 0.2484 0.0000
0.0000 0.7516 0.0000
0.3358 0.2481 0.6697
0.3358 0.7519 0.6697
0.6642 0.2481 0.3303
0.6642 0.7519 0.3303
0.5000 0.0000 0.0000
0.1656 0.0000 0.3356
0.1666 0.5000 0.3341
0.5000 0.5000 0.0000
0.8334 0.5000 0.6659
0.8344 0.0000 0.6644
```

---

Entry 7:
Crystalline VRuRh3 at its relaxed geometry, computed with PBE.

- Calculated volume: 159.1 Å³/cell
- M_tot: 0.0 μB/f.u.
- Polymorph energy (0 for the lowest one): 488.7 meV per atom
- Final energy: -7.8184 eV/atom

Cell and atoms, written as POSCAR:
```
VRuRh3
1.0
3.5537 -4.3090 0.0000
3.5537 4.3090 0.0000
0.0000 0.0000 5.1939
V Ru Rh
2 2 6
Direct
0.2435 0.7565 0.7500
0.7565 0.2435 0.2500
0.0000 0.0000 0.0000
0.0000 0.0000 0.5000
0.2714 0.3497 0.7500
0.2737 0.7263 0.2500
0.3497 0.2714 0.2500
0.6503 0.7286 0.7500
0.7263 0.2737 0.7500
0.7286 0.6503 0.2500
```

---

Entry 8:
Crystalline VRu3Rh4 at its relaxed geometry, computed with PBE.

- Calculated volume: 114.9 Å³/cell
- M_tot: 0.0 μB/f.u.
- Final energy: -8.1537 eV/atom

Cell and atoms, written as POSCAR:
```
VRu3Rh4
1.0
-1.3377 4.3992 4.8811
1.3377 -4.3992 4.8811
1.3377 4.3992 -4.8811
V Ru Rh
1 3 4
Direct
0.0000 0.0000 0.0000
0.2242 0.7242 0.5000
0.5000 0.5000 0.0000
0.7758 0.2758 0.5000
0.1186 0.8698 0.2488
0.3790 0.1302 0.2488
0.6210 0.8698 0.7512
0.8814 0.1302 0.7512
```